Entry i
An optimized crystal structure of LaLuAu, computed with PBE.

CIF file:
```
data_LaLuAu
_space_group_name_H-M_alt 'P 1'
_space_group_IT_number 1
_space_group_name_Hall 'P 1'
_cell_length_a 3.614
_cell_length_b 3.614
_cell_length_c 12.843
_cell_angle_alpha 90.00
_cell_angle_beta 90.00
_cell_angle_gamma 90.00
loop_
_atom_site_label
_atom_site_fract_x
_atom_site_fract_y
_atom_site_fract_z
La1 0.000 0.000 0.000
La2 0.500 0.500 0.500
Lu1 0.000 0.000 0.285
Lu2 0.500 0.500 0.785
Au1 0.000 0.000 0.673
Au2 0.500 0.500 0.173
```


Entry ii
An optimized crystal structure of LaLuAu, computed with PBE.

CIF file:
```
data_LaLuAu
_space_group_name_H-M_alt 'P 1'
_space_group_IT_number 1
_space_group_name_Hall 'P 1'
_cell_length_a 4.923
_cell_length_b 4.923
_cell_length_c 4.036
_cell_angle_alpha 90.00
_cell_angle_beta 90.00
_cell_angle_gamma 120.00
loop_
_atom_site_label
_atom_site_fract_x
_atom_site_fract_y
_atom_site_fract_z
La1 0.000 0.000 0.000
Lu1 0.667 0.333 0.502
Au1 0.333 0.667 0.465
```


Name the most stable of them. entry i.


Entry i
An optimized crystal structure of LaMg3Au3, computed with PBE.

CIF file:
```
data_LaMg3Au3
_space_group_name_H-M_alt 'P 1'
_space_group_IT_number 1
_space_group_name_Hall 'P 1'
_cell_length_a 7.235
_cell_length_b 7.235
_cell_length_c 7.235
_cell_angle_alpha 90.00
_cell_angle_beta 90.00
_cell_angle_gamma 90.00
loop_
_atom_site_label
_atom_site_fract_x
_atom_site_fract_y
_atom_site_fract_z
La1 0.000 0.000 0.000
La2 0.500 0.500 0.500
Mg1 0.000 0.250 0.500
Mg2 0.000 0.750 0.500
Mg3 0.250 0.500 0.000
Mg4 0.500 0.000 0.250
Mg5 0.500 0.000 0.750
Mg6 0.750 0.500 0.000
Au1 0.000 0.500 0.250
Au2 0.000 0.500 0.750
Au3 0.250 0.000 0.500
Au4 0.500 0.250 0.000
Au5 0.500 0.750 0.000
Au6 0.750 0.000 0.500
```


Entry ii
An optimized crystal structure of LaMg3Au3, computed with PBE.

CIF file:
```
data_LaMg3Au3
_space_group_name_H-M_alt 'P 1'
_space_group_IT_number 1
_space_group_name_Hall 'P 1'
_cell_length_a 8.945
_cell_length_b 8.945
_cell_length_c 4.594
_cell_angle_alpha 90.00
_cell_angle_beta 90.00
_cell_angle_gamma 120.00
loop_
_atom_site_label
_atom_site_fract_x
_atom_site_fract_y
_atom_site_fract_z
La1 0.333 0.667 0.250
La2 0.667 0.333 0.750
Mg1 0.026 0.765 0.750
Mg2 0.235 0.261 0.750
Mg3 0.261 0.026 0.250
Mg4 0.739 0.974 0.750
Mg5 0.765 0.739 0.250
Mg6 0.974 0.235 0.250
Au1 0.058 0.435 0.750
Au2 0.378 0.942 0.750
Au3 0.435 0.378 0.250
Au4 0.565 0.622 0.750
Au5 0.622 0.058 0.250
Au6 0.942 0.565 0.250
```


Name the most stable of them. entry ii.


Entry i
An optimized crystal structure of LaMg3Au, computed with PBE.

CIF file:
```
data_LaMg3Au
_space_group_name_H-M_alt 'P 1'
_space_group_IT_number 1
_space_group_name_Hall 'P 1'
_cell_length_a 5.113
_cell_length_b 5.113
_cell_length_c 5.113
_cell_angle_alpha 90.00
_cell_angle_beta 90.00
_cell_angle_gamma 90.00
loop_
_atom_site_label
_atom_site_fract_x
_atom_site_fract_y
_atom_site_fract_z
La1 0.000 0.000 0.000
Mg1 0.000 0.500 0.500
Mg2 0.500 0.000 0.500
Mg3 0.500 0.500 0.000
Au1 0.500 0.500 0.500
```


Entry ii
An optimized crystal structure of LaMg3Au, computed with PBE.

CIF file:
```
data_LaMg3Au
_space_group_name_H-M_alt 'P 1'
_space_group_IT_number 1
_space_group_name_Hall 'P 1'
_cell_length_a 6.253
_cell_length_b 6.253
_cell_length_c 6.253
_cell_angle_alpha 90.00
_cell_angle_beta 90.00
_cell_angle_gamma 90.00
loop_
_atom_site_label
_atom_site_fract_x
_atom_site_fract_y
_atom_site_fract_z
La1 0.000 0.000 0.000
Mg1 0.000 0.000 0.500
Mg2 0.000 0.500 0.000
Mg3 0.500 0.000 0.000
Au1 0.500 0.500 0.500
```


Name the most stable of them. entry i.


Entry i
An optimized crystal structure of La4MgAu, computed with PBE.

CIF file:
```
data_La4MgAu
_space_group_name_H-M_alt 'P 1'
_space_group_IT_number 1
_space_group_name_Hall 'P 1'
_cell_length_a 6.470
_cell_length_b 6.470
_cell_length_c 6.470
_cell_angle_alpha 60.00
_cell_angle_beta 60.00
_cell_angle_gamma 60.00
loop_
_atom_site_label
_atom_site_fract_x
_atom_site_fract_y
_atom_site_fract_z
La1 0.376 0.376 0.376
La2 0.376 0.376 0.873
La3 0.376 0.873 0.376
La4 0.873 0.376 0.376
Mg1 0.000 0.000 0.000
Au1 0.750 0.750 0.750
```


Entry ii
An optimized crystal structure of La4MgAu, computed with PBE.

CIF file:
```
data_La4MgAu
_space_group_name_H-M_alt 'P 1'
_space_group_IT_number 1
_space_group_name_Hall 'P 1'
_cell_length_a 8.511
_cell_length_b 8.511
_cell_length_c 8.511
_cell_angle_alpha 114.18
_cell_angle_beta 114.18
_cell_angle_gamma 100.41
loop_
_atom_site_label
_atom_site_fract_x
_atom_site_fract_y
_atom_site_fract_z
La1 0.136 0.474 0.662
La2 0.224 0.061 0.838
La3 0.224 0.386 0.162
La4 0.326 0.000 0.326
La5 0.674 0.000 0.674
La6 0.750 0.576 0.826
La7 0.750 0.924 0.174
La8 0.811 0.474 0.338
Mg1 0.239 0.739 0.500
Mg2 0.489 0.489 0.000
Au1 0.732 0.232 0.500
Au2 0.982 0.982 0.000
```


Name the most stable of them. entry ii.


Entry i
An optimized crystal structure of LaMgAu3, computed with PBE.

CIF file:
```
data_LaMgAu3
_space_group_name_H-M_alt 'P 1'
_space_group_IT_number 1
_space_group_name_Hall 'P 1'
_cell_length_a 4.979
_cell_length_b 4.979
_cell_length_c 4.979
_cell_angle_alpha 90.00
_cell_angle_beta 90.00
_cell_angle_gamma 90.00
loop_
_atom_site_label
_atom_site_fract_x
_atom_site_fract_y
_atom_site_fract_z
La1 0.000 0.000 0.000
Mg1 0.500 0.500 0.500
Au1 0.000 0.500 0.500
Au2 0.500 0.000 0.500
Au3 0.500 0.500 0.000
```


Entry ii
An optimized crystal structure of LaMgAu3, computed with PBE.

CIF file:
```
data_LaMgAu3
_space_group_name_H-M_alt 'P 1'
_space_group_IT_number 1
_space_group_name_Hall 'P 1'
_cell_length_a 13.783
_cell_length_b 13.783
_cell_length_c 4.586
_cell_angle_alpha 90.00
_cell_angle_beta 90.00
_cell_angle_gamma 164.88
loop_
_atom_site_label
_atom_site_fract_x
_atom_site_fract_y
_atom_site_fract_z
La1 0.079 0.921 0.750
La2 0.921 0.079 0.250
Mg1 0.210 0.790 0.250
Mg2 0.790 0.210 0.750
Au1 0.309 0.691 0.250
Au2 0.370 0.630 0.750
Au3 0.472 0.528 0.750
Au4 0.528 0.472 0.250
Au5 0.630 0.370 0.250
Au6 0.691 0.309 0.750
```


Entry iii
An optimized crystal structure of LaMgAu3, computed with PBE.

CIF file:
```
data_LaMgAu3
_space_group_name_H-M_alt 'P 1'
_space_group_IT_number 1
_space_group_name_Hall 'P 1'
_cell_length_a 5.626
_cell_length_b 5.626
_cell_length_c 5.626
_cell_angle_alpha 90.00
_cell_angle_beta 90.00
_cell_angle_gamma 90.00
loop_
_atom_site_label
_atom_site_fract_x
_atom_site_fract_y
_atom_site_fract_z
La1 0.000 0.000 0.000
Mg1 0.500 0.500 0.500
Au1 0.000 0.000 0.500
Au2 0.000 0.500 0.000
Au3 0.500 0.000 0.000
```


Name the most stable of them. entry ii.